Entry from the Alexandria database: HfSeBr2 after structural relaxation (PBE).

## Properties
As for the formation energy (no corrections): 4 kJ/mol of formula units. The polymorph energy (0 for the lowest one) is 0.948 eV per atom. The calculation puts the raw total energy at -50.23 eV/cell.

Cell lengths 3.4559, 3.4559, 39.4127 Å; angles 90.00, 90.00, 120.00 degrees
Space group R-3m (No. 166, hexagonal axes)
Symmetry-distinct sites (fractional):
Hf 0.0000 0.0000 0.0000 x3
Se 0.0000 0.0000 0.5000 x3
Br 0.0000 0.0000 0.0622 x6